VASP calculation (GGA-PBE) on a relaxed structure of NaSrSc3.

Results
- Total moment: 2.15 Bohr magnetons per cell
- Theoretical density: 2.5 Mg/m³
- Fermi-level density of states: 8.58 states/eV/f.u.
- Formation energy: 0.82 eV per atom
- Energy above the most stable polymorph in this dataset: 0.0 kJ/mol of atoms

Cell lengths 5.469, 5.469, 5.469 Å; angles 90.00, 90.00, 90.00 degrees
Element x y z (fractional)
Sc 0.000 0.500 0.000
Sc 0.000 0.000 0.500
Sc 0.500 0.000 0.000
Sr 0.500 0.500 0.500
Na 0.000 0.000 0.000


VASP calculation (GGA-PBE) on a relaxed structure of ZnBIO2.

Results
- Total moment: 1.04 Bohr magnetons per cell
- ΔE_f (raw): 0.644 eV per atom
- Theoretical density: 4.2 Mg/m³
- Fermi-level density of states: 1.72 states/eV/f.u.
- Energy above the most stable polymorph in this dataset: 42.2 kJ/mol of atoms

Cell lengths 3.739, 3.739, 6.712 Å; angles 90.00, 90.00, 90.00 degrees
Element x y z (fractional)
I 0.000 0.000 0.500
Zn 0.000 0.000 0.000
B 0.500 0.500 0.500
O 0.000 0.500 0.000
O 0.500 0.000 0.000


VASP calculation (GGA-PBE) on a relaxed structure of HfZnRh.

Results
- Total moment: 0.00 Bohr magnetons per cell
- Theoretical density: 11.3 Mg/m³
- Fermi-level density of states: 2.02 states/eV/f.u.
- Formation energy: -0.62 eV per atom

Cell lengths 3.752, 3.752, 7.247 Å; angles 90.00, 90.00, 90.00 degrees
Element x y z (fractional)
Hf 0.500 0.000 0.851
Hf 0.000 0.500 0.149
Rh 0.500 0.000 0.228
Rh 0.000 0.500 0.772
Zn 0.500 0.500 0.500
Zn 0.000 0.000 0.500


VASP calculation (GGA-PBE) on a relaxed structure of RbPaPt2O8.

Results
- Total moment: 0.61 Bohr magnetons per cell
- ΔE_f (raw): -1.060 eV per atom
- Theoretical density: 5.9 Mg/m³
- Fermi-level density of states: 7.96 states/eV/f.u.

Cell lengths 5.694, 5.694, 8.387 Å; angles 90.00, 90.00, 120.00 degrees
Element x y z (fractional)
Rb 0.000 0.000 0.500
Pa 0.000 0.000 0.000
Pt 0.333 0.667 0.715
Pt 0.667 0.333 0.285
O 0.173 0.346 0.848
O 0.173 0.827 0.848
O 0.654 0.827 0.848
O 0.346 0.173 0.152
O 0.667 0.333 0.499
O 0.333 0.667 0.501
O 0.827 0.654 0.152
O 0.827 0.173 0.152


Number 1: DFT total energy -17.9 eV for the cell shown. Number 2: DFT total energy -16.2 eV for the cell shown. Number 3: DFT total energy -40.9 eV for the cell shown. Number 4: DFT total energy -74.9 eV for the cell shown.